## CaAlIn2 (GGA-PBE)

Data for a relaxed CaAlIn2 crystal.

abc: 5.2563 5.2563 5.2563
angles: 60.00 60.00 60.00
Last column: nearest neighbours and their distance in Å.
Sites, in units of the cell vectors:
Ca: 0.0000 0.0000 0.0000  4 In 3.22, 4 Al 3.22
Al: 0.2500 0.2500 0.2500  4 In 3.22, 4 Ca 3.22
In: 0.5000 0.5000 0.5000  4 In 3.22, 4 Al 3.22
In: 0.7500 0.7500 0.7500  4 In 3.22, 4 Ca 3.22

* final energy: -2.871 eV/atom
* ΔH_f (0 K): -65.5 meV per atom
* N(E_F): 3.32 states/eV/f.u.

---

## RhCI2O (GGA-PBE)

Data for a relaxed RhCI2O crystal.

abc: 5.2318 5.2318 3.1506
angles: 90.00 90.00 90.00
Last column: nearest neighbours and their distance in Å.
Sites, in units of the cell vectors:
Rh: 0.0000 0.0000 0.0000  8 I 3.05, 2 Rh 3.15
C: 0.5000 0.5000 0.5000  2 O 1.58
I: 0.0000 0.5000 0.5000  2 C 2.62
I: 0.5000 0.0000 0.5000  2 C 2.62
O: 0.5000 0.5000 0.0000  2 C 1.58

* final energy: -3.760 eV/atom
* energy above the lowest structure with this stoichiometry: 0 meV/atom
* N(E_F): 3.45 states/eV/f.u.

---

## Hg2GePAu (GGA-PBE)

Data for a relaxed Hg2GePAu crystal.

abc: 5.2114 5.2114 4.6993
angles: 90.00 90.00 90.00
Last column: nearest neighbours and their distance in Å.
Sites, in units of the cell vectors:
Hg: 0.0000 0.5000 0.0000  2 P 2.61
Hg: 0.5000 0.0000 0.0000  2 P 2.61
Ge: 0.0000 0.0000 0.5000  8 Hg 3.51, 4 Au 3.69
P: 0.5000 0.5000 0.0000  2 Au 2.35, 4 Hg 2.61
Au: 0.5000 0.5000 0.5000  2 P 2.35

* final energy: -2.234 eV/atom
* ΔH_f (0 K): 547.1 meV per atom
* N(E_F): 4.39 states/eV/f.u.

---

## InHgB (GGA-PBE)

Data for a relaxed InHgB crystal.

abc: 4.0163 4.0163 9.0492
angles: 90.00 90.00 120.00
Last column: nearest neighbours and their distance in Å.
Sites, in units of the cell vectors:
In: 0.3333 0.6667 0.2500  3 B 2.32
In: 0.6667 0.3333 0.7500  3 B 2.32
Hg: 0.0000 0.0000 0.0000  6 In 3.24, 6 B 3.24
Hg: 0.0000 0.0000 0.5000  6 In 3.24, 6 B 3.24
B: 0.3333 0.6667 0.7500  3 In 2.32
B: 0.6667 0.3333 0.2500  3 In 2.32

* final energy: -2.348 eV/atom
* ΔH_f (0 K): 891.5 meV per atom
* N(E_F): 1.35 states/eV/f.u.

---

## InAsPt2 (GGA-PBE)

Data for a relaxed InAsPt2 crystal.

abc: 3.1831 3.2130 6.8385
angles: 90.00 90.51 90.00
Last column: nearest neighbours and their distance in Å.
Sites, in units of the cell vectors:
In: 0.0000 0.0000 0.0000  8 Pt 2.88-2.91, 4 In 3.18-3.21
As: 0.0000 0.0000 0.5000  8 Pt 2.78
Pt: 0.4951 0.5000 0.2640  4 As 2.78, 4 In 2.88-2.91
Pt: 0.5049 0.5000 0.7360  4 As 2.78, 4 In 2.88-2.91

* final energy: -5.060 eV/atom
* ΔH_f (0 K): -192.6 meV per atom
* N(E_F): 1.44 states/eV/f.u.

---

## NdErInHg (GGA-PBE)

Data for a relaxed NdErInHg crystal.

abc: 5.3713 5.3713 5.3713
angles: 60.00 60.00 60.00
Last column: nearest neighbours and their distance in Å.
Sites, in units of the cell vectors:
Nd: 0.0000 0.0000 0.0000  4 In 3.29, 4 Hg 3.29
Er: 0.5000 0.5000 0.5000  4 Hg 3.29, 4 In 3.29
In: 0.7500 0.7500 0.7500  4 Er 3.29, 4 Nd 3.29
Hg: 0.2500 0.2500 0.2500  4 Er 3.29, 4 Nd 3.29

* final energy: -3.547 eV/atom
* ΔH_f (0 K): -454.5 meV per atom
* N(E_F): 4.69 states/eV/f.u.

---

## Pm7Ir2Rh2 (GGA-PBE)

Data for a relaxed Pm7Ir2Rh2 crystal.

abc: 9.1272 9.1272 9.1272
angles: 154.09 68.03 118.33
Last column: nearest neighbours and their distance in Å.
Sites, in units of the cell vectors:
Pm: 0.0000 0.0000 0.0000  3 Ir 2.86-3.19
Pm: 0.2831 0.3941 0.8890  3 Ir 2.99-3.14, 2 Rh 3.01
Pm: 0.3003 0.6117 0.6886  3 Rh 2.86-3.04, 1 Ir 3.01
Pm: 0.5051 0.3941 0.1110  3 Ir 2.99-3.14, 2 Rh 3.01
Pm: 0.6015 0.2285 0.3729  2 Ir 2.88
Pm: 0.8556 0.2285 0.6271  2 Ir 2.88
Pm: 0.9232 0.6117 0.3114  3 Rh 2.86-3.04, 1 Ir 3.01
Ir: 0.2143 0.7143 0.5000  8 Pm 2.86-3.14
Ir: 0.6588 0.6588 0.0000  7 Pm 2.88-3.19
Rh: 0.1619 0.9181 0.2438  5 Pm 2.86-3.04
Rh: 0.6743 0.9181 0.7562  5 Pm 2.86-3.04

* final energy: -6.553 eV/atom
* energy above the lowest structure with this stoichiometry: 0 meV/atom
* ΔH_f (0 K): -581.9 meV per atom
* N(E_F): 8.73 states/eV/f.u.

---

## BeCrNi2 (GGA-PBE)

Data for a relaxed BeCrNi2 crystal.

abc: 3.2827 3.5296 3.6948
angles: 90.00 90.00 90.00
Last column: nearest neighbours and their distance in Å.
Sites, in units of the cell vectors:
Be: 0.0000 0.0000 0.0000  8 Ni 2.41-2.47, 4 Cr 2.55
Cr: 0.0000 0.5000 0.5000  8 Ni 2.41-2.47, 4 Be 2.55
Ni: 0.5000 0.0000 0.5000  4 Cr 2.41, 4 Be 2.47, 4 Ni 2.55
Ni: 0.5000 0.5000 0.0000  4 Be 2.41, 4 Cr 2.47, 4 Ni 2.55

* final energy: -6.247 eV/atom
* ΔH_f (0 K): -18.7 meV per atom
* N(E_F): 3.61 states/eV/f.u.

---

## Ca2ReRh (GGA-PBE)

Data for a relaxed Ca2ReRh crystal.

abc: 6.2695 6.2695 6.2695
angles: 100.56 100.56 129.30
Last column: nearest neighbours and their distance in Å.
Sites, in units of the cell vectors:
Ca: 0.0921 0.6250 0.9671  2 Ca 2.74, 2 Rh 2.74
Ca: 0.3750 0.3421 0.4671  2 Ca 2.74, 2 Rh 2.74
Ca: 0.6579 0.1250 0.0329  2 Ca 2.74, 2 Rh 2.74
Ca: 0.8750 0.9079 0.5329  2 Ca 2.74, 2 Rh 2.74
Re: 0.2500 0.7500 0.5000  2 Rh 2.68
Re: 0.5000 0.5000 0.0000  2 Rh 2.68
Rh: 0.0000 0.0000 0.0000  2 Re 2.68, 4 Ca 2.74
Rh: 0.7500 0.2500 0.5000  2 Re 2.68, 4 Ca 2.74

* final energy: -5.122 eV/atom
* ΔH_f (0 K): 828.9 meV per atom
* N(E_F): 4.70 states/eV/f.u.

---

## CrHgPt (GGA-PBE)

Data for a relaxed CrHgPt crystal.

abc: 5.2481 5.2481 5.2481
angles: 146.12 139.87 53.51
Last column: nearest neighbours and their distance in Å.
Sites, in units of the cell vectors:
Cr: 0.0000 0.0000 0.0000  4 Pt 2.66, 5 Hg 2.92-2.97
Hg: 0.3173 0.3173 0.0000  5 Cr 2.92-2.97, 5 Pt 2.93-2.95, 2 Hg 3.06
Pt: 0.6297 0.6297 0.0000  4 Cr 2.66, 5 Hg 2.93-2.95

* final energy: -5.210 eV/atom
* energy above the lowest structure with this stoichiometry: 0 meV/atom
* ΔH_f (0 K): 111.9 meV per atom
* N(E_F): 2.70 states/eV/f.u.

---

## Ca2Cu (GGA-PBE)

Data for a relaxed Ca2Cu crystal.

abc: 6.9423 6.9423 6.9423
angles: 34.81 34.81 34.81
Last column: nearest neighbours and their distance in Å.
Sites, in units of the cell vectors:
Ca: 0.2493 0.2493 0.2493  3 Cu 2.91
Ca: 0.7507 0.7507 0.7507  3 Cu 2.91
Cu: 0.0000 0.0000 0.0000  6 Ca 2.91

* final energy: -2.684 eV/atom
* ΔH_f (0 K): 15.6 meV per atom
* N(E_F): 2.34 states/eV/f.u.

---

## TbPuPd3 (GGA-PBE)

Data for a relaxed TbPuPd3 crystal.

abc: 8.1895 5.4860 10.5779
angles: 90.00 119.64 90.00
Last column: nearest neighbours and their distance in Å.
Sites, in units of the cell vectors:
Tb: 0.1049 0.1940 0.1844  6 Pd 2.80-3.06
Tb: 0.1049 0.3060 0.6844  6 Pd 2.80-3.06
Tb: 0.8951 0.6940 0.3156  6 Pd 2.80-3.06
Tb: 0.8951 0.8060 0.8156  6 Pd 2.80-3.06
Pu: 0.3781 0.7365 0.4652  9 Pd 2.94-3.27, 1 Pu 3.13
Pu: 0.3781 0.7635 0.9652  9 Pd 2.94-3.27, 1 Pu 3.13
Pu: 0.6219 0.2365 0.0348  9 Pd 2.94-3.27, 1 Pu 3.13
Pu: 0.6219 0.2635 0.5348  9 Pd 2.94-3.27, 1 Pu 3.13
Pd: 0.1556 0.6938 0.1382  4 Pd 2.76-3.06, 3 Tb 2.85-3.06, 1 Pu 3.02
Pd: 0.1556 0.8062 0.6382  4 Pd 2.76-3.06, 3 Tb 2.85-3.06, 1 Pu 3.02
Pd: 0.2296 0.2260 0.4831  4 Pd 2.76-3.06, 2 Tb 2.80-2.81, 2 Pu 2.99
Pd: 0.2296 0.2740 0.9831  4 Pd 2.76-3.06, 2 Tb 2.80-2.81, 2 Pu 2.99
Pd: 0.4845 0.5120 0.7480  6 Pd 2.75-2.98, 2 Pu 2.94-3.06, 1 Tb 3.05
Pd: 0.4845 0.9880 0.2480  6 Pd 2.75-2.98, 2 Pu 2.94-3.06, 1 Tb 3.05
Pd: 0.5155 0.0120 0.7520  6 Pd 2.75-2.98, 2 Pu 2.94-3.06, 1 Tb 3.05
Pd: 0.5155 0.4880 0.2520  6 Pd 2.75-2.98, 2 Pu 2.94-3.06, 1 Tb 3.05
Pd: 0.7704 0.7260 0.0169  4 Pd 2.76-3.06, 2 Tb 2.80-2.81, 2 Pu 2.99
Pd: 0.7704 0.7740 0.5169  4 Pd 2.76-3.06, 2 Tb 2.80-2.81, 2 Pu 2.99
Pd: 0.8444 0.1938 0.3618  4 Pd 2.76-3.06, 3 Tb 2.85-3.06, 1 Pu 3.02
Pd: 0.8444 0.3062 0.8618  4 Pd 2.76-3.06, 3 Tb 2.85-3.06, 1 Pu 3.02

* final energy: -7.544 eV/atom
* ΔH_f (0 K): -636.3 meV per atom
* N(E_F): 11.25 states/eV/f.u.

---

Which value of N(E_F) does entry 8 give? 3.61 states/eV/f.u.